Entry 1:
Density functional theory data (PBE) for crystalline Tb6Cd3Co at its relaxed geometry.

Summary:
ρ	8.6	g cm⁻³
formation energy	-0.186	eV per atom
ΔE to the lowest computed polymorph	0	meV/atom

a = 9.0928 Å, b = 5.3069 Å, c = 11.3946 Å
α = 90.00°, β = 108.80°, γ = 90.00°
With the nearest neighbours (Å) after each atom.
Space group P2_1/m (No. 11)
Unique sites:
Tb1 0.0334 0.2500 0.4162 (multiplicity 2)  7 Cd 3.08-3.36, 3 Tb 3.44
Tb2 0.1949 0.7500 0.1621 (multiplicity 2)  1 Co 2.79
Tb3 0.2831 0.2500 0.0021 (multiplicity 2)  3 Co 2.85-3.11, 1 Cd 3.15
Tb4 0.3500 0.7500 0.8375 (multiplicity 2)  1 Co 2.76
Tb5 0.3783 0.2500 0.3517 (multiplicity 2)  3 Cd 3.18-3.30, 6 Tb 3.40-3.49
Tb6 0.3906 0.2500 0.6565 (multiplicity 2)  1 Co 2.74
Cd1 0.0051 0.7500 0.8697 (multiplicity 2)  6 Tb 3.16-3.39, 2 Cd 3.33
Cd2 0.0782 0.2500 0.7204 (multiplicity 2)  6 Tb 3.08-3.36, 3 Cd 3.22-3.33
Cd3 0.2688 0.7500 0.4742 (multiplicity 2)  9 Tb 3.18-3.40, 1 Cd 3.22
Co1 0.4622 0.7500 0.0929 (multiplicity 2)  4 Tb 2.74-2.85


Entry 2:
Density functional theory data (PBE) for crystalline TbCdCo at its relaxed geometry.

Summary:
ρ	8.8	g cm⁻³
formation energy	-0.199	eV per atom

a = 12.9679 Å, b = 3.8568 Å, c = 5.1088 Å
α = 90.00°, β = 102.47°, γ = 90.00°
With the nearest neighbours (Å) after each atom.
Space group C2/m (No. 12)
Unique sites:
Tb1 0.1387 0.0000 0.3250 (multiplicity 4)  4 Co 2.78-2.91
Cd1 0.0744 0.5000 0.7825 (multiplicity 4)  3 Co 2.72-2.77
Co1 0.2317 0.0000 0.8830 (multiplicity 4)  2 Co 2.26